# 1
DFT (PBE) results for CaSbTeI2 after structural relaxation.

CIF file:
```
data_CaSbTeI2
_chemical_formula_sum 'Ca1 Sb1 Te1 I2'
_symmetry_space_group_name_H-M 'P 4/m m m'
_symmetry_Int_Tables_number 123
_symmetry_space_group_name_Hall '-P 4 2'
_cell_length_a 5.792
_cell_length_b 5.792
_cell_length_c 6.592
_cell_angle_alpha 90.00
_cell_angle_beta 90.00
_cell_angle_gamma 90.00
loop_
_atom_site_label
_atom_site_type_symbol
_atom_site_fract_x
_atom_site_fract_y
_atom_site_fract_z
_atom_site_occupancy
Ca1 Ca 0.000 0.000 0.000 1
Sb1 Sb 0.000 0.000 0.500 1
Te1 Te 0.500 0.500 0.500 1
I1 I 0.000 0.500 0.000 1
```

The calculation puts the uncorrected formation energy at -0.07 eV per atom.

=====

# 2
DFT (PBE) results for CaSbTeI2 after structural relaxation.

CIF file:
```
data_CaSbTeI2
_chemical_formula_sum 'Ca1 Sb1 Te1 I2'
_symmetry_space_group_name_H-M 'P 4/m m m'
_symmetry_Int_Tables_number 123
_symmetry_space_group_name_Hall '-P 4 2'
_cell_length_a 5.840
_cell_length_b 5.840
_cell_length_c 6.311
_cell_angle_alpha 90.00
_cell_angle_beta 90.00
_cell_angle_gamma 90.00
loop_
_atom_site_label
_atom_site_type_symbol
_atom_site_fract_x
_atom_site_fract_y
_atom_site_fract_z
_atom_site_occupancy
Ca1 Ca 0.000 0.000 0.000 1
Sb1 Sb 0.500 0.500 0.500 1
Te1 Te 0.000 0.000 0.500 1
I1 I 0.000 0.500 0.000 1
```

The calculation puts the uncorrected formation energy at -0.20 eV per atom.

=====

# 3
DFT (PBE) results for CaSbTeI2 after structural relaxation.

CIF file:
```
data_CaSbTeI2
_chemical_formula_sum 'Ca1 Sb1 Te1 I2'
_symmetry_space_group_name_H-M 'P 4/m m m'
_symmetry_Int_Tables_number 123
_symmetry_space_group_name_Hall '-P 4 2'
_cell_length_a 5.879
_cell_length_b 5.879
_cell_length_c 6.068
_cell_angle_alpha 90.00
_cell_angle_beta 90.00
_cell_angle_gamma 90.00
loop_
_atom_site_label
_atom_site_type_symbol
_atom_site_fract_x
_atom_site_fract_y
_atom_site_fract_z
_atom_site_occupancy
Ca1 Ca 0.000 0.000 0.000 1
Sb1 Sb 0.500 0.500 0.500 1
Te1 Te 0.500 0.500 0.000 1
I1 I 0.000 0.500 0.500 1
```

The calculation puts the uncorrected formation energy at -0.30 eV per atom.

=====

# 4
DFT (PBE) results for CaSbTeI2 after structural relaxation.

CIF file:
```
data_CaSbTeI2
_chemical_formula_sum 'Ca1 Sb1 Te1 I2'
_symmetry_space_group_name_H-M 'P 4/m m m'
_symmetry_Int_Tables_number 123
_symmetry_space_group_name_Hall '-P 4 2'
_cell_length_a 5.970
_cell_length_b 5.970
_cell_length_c 5.938
_cell_angle_alpha 90.00
_cell_angle_beta 90.00
_cell_angle_gamma 90.00
loop_
_atom_site_label
_atom_site_type_symbol
_atom_site_fract_x
_atom_site_fract_y
_atom_site_fract_z
_atom_site_occupancy
Ca1 Ca 0.000 0.000 0.000 1
Sb1 Sb 0.500 0.500 0.000 1
Te1 Te 0.500 0.500 0.500 1
I1 I 0.000 0.500 0.500 1
```

The calculation puts the uncorrected formation energy at 0.00 eV per atom.

=====

Computed values of excess energy over the best structure of this formula in the dataset (unit: eV/atom) for the preceding records, in sequence: 0.2280, 0.0995, 0.0000, 0.3004.